[1]
VASP calculation (PBE) on BeBiPd after structural relaxation.

Results
The calculation puts the total energy at -4.300 eV per atom.

abc: 6.0340 6.0340 6.0340
angles: 90.00 90.00 90.00
Closest atoms and distances in Å follow each position.
Space group F-43m (No. 216)
Inequivalent atoms, fractional coordinates:
Be (0.0000, 0.0000, 0.0000) [4 per cell]  4 Bi 2.61, 4 Pd 2.61
Bi (0.2500, 0.2500, 0.7500) [4 per cell]  4 Be 2.61
Pd (0.2500, 0.2500, 0.2500) [4 per cell]  4 Be 2.61

[2]
VASP calculation (PBE) on BeBiPd2 after structural relaxation.

Results
The calculation puts the total energy at -4.495 eV per atom.

abc: 6.4535 6.4535 6.4535
angles: 90.00 90.00 90.00
Closest atoms and distances in Å follow each position.
Space group F-43m (No. 216)
Inequivalent atoms, fractional coordinates:
Be (0.0000, 0.0000, 0.0000) [4 per cell]  4 Bi 2.79, 4 Pd 2.79
Bi (0.2500, 0.2500, 0.7500) [4 per cell]  4 Be 2.79, 4 Pd 2.79
Pd (0.0000, 0.0000, 0.5000) [4 per cell]  4 Bi 2.79, 4 Pd 2.79
Pd (0.2500, 0.2500, 0.2500) [4 per cell]  4 Pd 2.79, 4 Be 2.79

The highest total energy belongs to which entry?
BeBiPd

Number 1 is which compound?
BeBiPd

Look up the total energy of the first one.
-4.300 eV per atom